An optimized crystal structure of Sm7Y6Tm16, computed with PBE-GGA.

```
Sm7Y6Tm16
1.0
-10.554 2.307 2.536
-5.228 -5.854 7.845
-2.462 4.726 9.734
Tm Sm Y
16 7 6
Direct
0.126 0.622 0.126
0.874 0.874 0.874
0.347 0.347 0.958
0.874 0.378 0.874
0.874 0.874 0.378
0.378 0.874 0.874
0.653 0.653 0.042
0.126 0.126 0.126
0.622 0.126 0.126
0.042 0.653 0.653
0.347 0.958 0.347
0.126 0.126 0.622
0.653 0.653 0.653
0.347 0.347 0.347
0.958 0.347 0.347
0.653 0.042 0.653
0.000 0.000 0.000
0.500 0.500 0.000
0.000 0.500 0.500
0.000 0.000 0.500
0.000 0.500 0.000
0.500 0.000 0.000
0.500 0.000 0.500
0.270 0.730 0.270
0.730 0.270 0.270
0.730 0.270 0.730
0.270 0.270 0.730
0.270 0.730 0.730
0.730 0.730 0.270
```

Computed properties:
Formation energy from the elements in eV per formula unit: 7.261
Density in kg/m³: 7371

***

An optimized crystal structure of InIr2AuN, computed with PBE-GGA.

```
InIr2AuN
1.0
3.991 0.000 0.000
0.000 5.150 0.000
0.000 0.000 3.991
Au N Ir In
1 1 2 1
Direct
0.500 0.500 0.500
0.000 0.000 0.000
0.500 0.000 0.000
0.000 0.000 0.500
0.000 0.500 0.000
```

Computed properties:
Density in kg/m³: 14374
E_form (uncorrected) in eV per atom: 0.54

***

An optimized crystal structure of Zr2AsOs, computed with PBE-GGA.

```
Zr2AsOs
1.0
7.627 0.079 0.047
6.768 3.516 0.047
6.768 1.690 3.083
As Zr Os
1 2 1
Direct
0.250 0.250 0.250
0.502 0.502 0.502
0.998 0.998 0.998
0.750 0.750 0.750
```

Computed properties:
Formation energy from the elements in eV per formula unit: -1.554
Density in kg/m³: 9306